[1]
Material: Tb2Ho5Ga4
Method: DFT, GGA-PBE
State: relaxed

Cell lengths 3.667, 12.429, 14.140 Å; angles 90.00, 90.00, 90.00 degrees
Space group Immm (No. 71)
Inequivalent atoms, fractional coordinates:
Tb 0.000 0.000 0.206 [4 per cell]
Ho 0.000 0.316 0.149 [8 per cell]
Ho 0.000 0.500 0.500 [2 per cell]
Ga 0.000 0.000 0.409 [4 per cell]
Ga 0.000 0.168 0.000 [4 per cell]

=====

[2]
Material: TbHo5Ga6
Method: DFT, GGA-PBE
State: relaxed

Cell lengths 5.033, 15.105, 7.109 Å; angles 90.00, 90.00, 90.00 degrees
Space group Cmmm (No. 65)
Inequivalent atoms, fractional coordinates:
Tb 0.000 0.000 0.000 [2 per cell]
Ho 0.000 0.000 0.500 [2 per cell]
Ho 0.000 0.333 0.000 [4 per cell]
Ho 0.000 0.334 0.500 [4 per cell]
Ga 0.000 0.167 0.251 [8 per cell]
Ga 0.000 0.500 0.251 [4 per cell]

=====

[3]
Material: Tb2Ho3Ga2
Method: DFT, GGA-PBE
State: relaxed

Cell lengths 12.093, 4.075, 8.556 Å; angles 90.00, 113.44, 90.00 degrees
Space group C2/m (No. 12)
Inequivalent atoms, fractional coordinates:
Tb 0.149 0.000 0.308 [4 per cell]
Ho 0.000 0.500 0.500 [2 per cell]
Ho 0.119 0.500 0.937 [4 per cell]
Ga 0.174 0.000 0.712 [4 per cell]

=====

[4]
Material: TbHoGa
Method: DFT, GGA-PBE
State: relaxed

Cell lengths 7.008, 7.008, 7.008 Å; angles 90.00, 90.00, 90.00 degrees
Space group F-43m (No. 216)
Inequivalent atoms, fractional coordinates:
Tb 0.000 0.000 0.000 [4 per cell]
Ho 0.000 0.000 0.500 [4 per cell]
Ga 0.250 0.250 0.250 [4 per cell]

Calculated values
ΔE to the lowest computed polymorph = 0.45 eV/f.u.

=====

[5]
Material: Tb2Ho8Ga
Method: DFT, GGA-PBE
State: relaxed

Cell lengths 19.050, 5.445, 6.368 Å; angles 90.00, 94.25, 90.00 degrees
Space group C2/m (No. 12)
Inequivalent atoms, fractional coordinates:
Tb 0.242 0.000 0.332 [4 per cell]
Ho 0.042 0.000 0.256 [4 per cell]
Ho 0.077 0.500 0.608 [4 per cell]
Ho 0.156 0.000 0.809 [4 per cell]
Ho 0.156 0.500 0.123 [4 per cell]
Ga 0.000 0.500 0.000 [2 per cell]

=====

[6]
Material: TbHoGa
Method: DFT, GGA-PBE
State: relaxed

Cell lengths 3.466, 3.466, 13.077 Å; angles 90.00, 90.00, 90.00 degrees
Space group I4mm (No. 107)
Inequivalent atoms, fractional coordinates:
Tb 0.000 0.000 0.000 [2 per cell]
Ho 0.000 0.000 0.709 [2 per cell]
Ga 0.000 0.000 0.353 [2 per cell]

Calculated values
ΔE to the lowest computed polymorph = 0.07 eV/f.u.

=====

[7]
Material: Tb3HoGa4
Method: DFT, GGA-PBE
State: relaxed

Cell lengths 3.607, 6.738, 16.620 Å; angles 90.00, 90.00, 90.00 degrees
Space group Immm (No. 71)
Inequivalent atoms, fractional coordinates:
Tb 0.000 0.000 0.000 [2 per cell]
Tb 0.000 0.500 0.202 [4 per cell]
Ho 0.000 0.000 0.500 [2 per cell]
Ga 0.000 0.307 0.371 [8 per cell]

Calculated values
ΔE to the lowest computed polymorph = 0.96 eV/f.u.

=====

[8]
Material: Tb2Ho2Ga3
Method: DFT, GGA-PBE
State: relaxed

Cell lengths 14.007, 3.596, 7.811 Å; angles 90.00, 117.09, 90.00 degrees
Space group C2/m (No. 12)
Inequivalent atoms, fractional coordinates:
Tb 0.177 0.000 0.278 [4 per cell]
Ho 0.115 0.000 0.799 [4 per cell]
Ga 0.000 0.500 0.000 [2 per cell]
Ga 0.083 0.500 0.466 [4 per cell]

=====

[9]
Material: TbHoGa
Method: DFT, GGA-PBE
State: relaxed

Cell lengths 16.370, 3.662, 5.156 Å; angles 90.00, 90.10, 90.00 degrees
Space group C2/m (No. 12)
Inequivalent atoms, fractional coordinates:
Tb 0.077 0.000 0.248 [4 per cell]
Ho 0.223 0.000 0.750 [4 per cell]
Ga 0.078 0.500 0.747 [4 per cell]

Calculated values
ΔE to the lowest computed polymorph = 0.02 eV/f.u.

=====

[10]
Material: Tb6Ho2Ga
Method: DFT, GGA-PBE
State: relaxed

Cell lengths 17.133, 9.219, 3.527 Å; angles 90.00, 90.06, 90.00 degrees
Space group C2/m (No. 12)
Inequivalent atoms, fractional coordinates:
Tb 0.000 0.216 0.000 [4 per cell]
Tb 0.162 0.328 0.500 [8 per cell]
Ho 0.178 0.000 0.999 [4 per cell]
Ga 0.000 0.500 0.500 [2 per cell]

=====

[11]
Material: Tb2HoGa3
Method: DFT, GGA-PBE
State: relaxed

Cell lengths 4.547, 20.928, 6.216 Å; angles 90.00, 90.00, 90.00 degrees
Space group Cmcm (No. 63)
Inequivalent atoms, fractional coordinates:
Tb 0.000 0.034 0.250 [4 per cell]
Tb 0.000 0.143 0.750 [4 per cell]
Ho 0.000 0.324 0.750 [4 per cell]
Ga 0.000 0.262 0.250 [4 per cell]
Ga 0.000 0.438 0.045 [8 per cell]

Calculated values
ΔE to the lowest computed polymorph = 0.50 eV/f.u.

=====

[12]
Material: TbHoGa2
Method: DFT, GGA-PBE
State: relaxed

Cell lengths 4.363, 4.043, 5.868 Å; angles 90.00, 111.80, 90.00 degrees
Space group Pm (No. 6)
Inequivalent atoms, fractional coordinates:
Tb 0.000 0.000 0.000 [1 per cell]
Ho 0.723 0.500 0.443 [1 per cell]
Ga 0.284 0.000 0.566 [1 per cell]
Ga 0.437 0.500 0.874 [1 per cell]

=====

[13]
Material: TbHo5Ga4
Method: DFT, GGA-PBE
State: relaxed

Cell lengths 17.135, 3.666, 8.699 Å; angles 90.00, 95.74, 90.00 degrees
Space group C2/m (No. 12)
Inequivalent atoms, fractional coordinates:
Tb 0.000 0.000 0.000 [2 per cell]
Ho 0.000 0.000 0.500 [2 per cell]
Ho 0.150 0.500 0.780 [4 per cell]
Ho 0.188 0.500 0.347 [4 per cell]
Ga 0.023 0.500 0.258 [4 per cell]
Ga 0.186 0.000 0.059 [4 per cell]

=====

[14]
Material: Tb5HoGa4
Method: DFT, GGA-PBE
State: relaxed

Cell lengths 17.218, 3.690, 8.737 Å; angles 90.00, 94.95, 90.00 degrees
Space group C2/m (No. 12)
Inequivalent atoms, fractional coordinates:
Tb 0.000 0.000 0.000 [2 per cell]
Tb 0.150 0.500 0.285 [4 per cell]
Tb 0.187 0.500 0.848 [4 per cell]
Ho 0.000 0.000 0.500 [2 per cell]
Ga 0.023 0.500 0.754 [4 per cell]
Ga 0.185 0.000 0.561 [4 per cell]

=====

[15]
Material: TbHo4Ga
Method: DFT, GGA-PBE
State: relaxed

Cell lengths 8.737, 13.482, 6.213 Å; angles 90.00, 108.36, 90.00 degrees
Space group C2/c (No. 15)
Inequivalent atoms, fractional coordinates:
Tb 0.000 0.096 0.250 [4 per cell]
Ho 0.100 0.318 0.546 [8 per cell]
Ho 0.222 0.114 0.876 [8 per cell]
Ga 0.000 0.500 0.250 [4 per cell]

=====

[16]
Material: Tb2HoGa9
Method: DFT, GGA-PBE
State: relaxed

Cell lengths 4.276, 4.276, 12.827 Å; angles 90.00, 90.00, 90.00 degrees
Space group P4/mmm (No. 123)
Inequivalent atoms, fractional coordinates:
Tb 0.000 0.000 0.167 [2 per cell]
Ho 0.000 0.000 0.500 [1 per cell]
Ga 0.000 0.500 0.000 [2 per cell]
Ga 0.000 0.500 0.335 [4 per cell]
Ga 0.500 0.500 0.167 [2 per cell]
Ga 0.500 0.500 0.500 [1 per cell]

=====

[17]
Material: TbHo8Ga6
Method: DFT, GGA-PBE
State: relaxed

Cell lengths 8.6058, 8.6058, 18.4160 Å; angles 90.00, 90.00, 120.00 degrees
Space group R-3 (No. 148, hexagonal axes)
Inequivalent atoms, fractional coordinates:
Tb 0.0000 0.0000 0.0000 [3 per cell]
Ho 0.0000 0.0000 0.3334 [6 per cell]
Ho 0.0003 0.3342 0.8884 [18 per cell]
Ga 0.0001 0.3344 0.0596 [18 per cell]

=====

[18]
Material: TbHoGa
Method: DFT, GGA-PBE
State: relaxed

Cell lengths 7.928, 4.474, 13.389 Å; angles 90.00, 90.86, 90.00 degrees
Space group P2_1/m (No. 11)
Inequivalent atoms, fractional coordinates:
Tb 0.029 0.250 0.114 [2 per cell]
Tb 0.146 0.250 0.416 [2 per cell]
Tb 0.470 0.750 0.784 [2 per cell]
Ho 0.126 0.250 0.710 [2 per cell]
Ho 0.357 0.750 0.048 [2 per cell]
Ho 0.482 0.750 0.409 [2 per cell]
Ga 0.230 0.750 0.249 [2 per cell]
Ga 0.245 0.750 0.580 [2 per cell]
Ga 0.259 0.250 0.917 [2 per cell]

Calculated values
ΔE to the lowest computed polymorph = 0.00 eV/f.u.

=====

[19]
Material: TbHoGa
Method: DFT, GGA-PBE
State: relaxed

Cell lengths 3.5873, 3.5873, 14.7829 Å; angles 90.00, 90.00, 120.00 degrees
Space group P-3m1 (No. 164)
Inequivalent atoms, fractional coordinates:
Tb 0.3333 0.6667 0.4026 [2 per cell]
Ho 0.3333 0.6667 0.7936 [2 per cell]
Ga 0.3333 0.6667 0.0571 [2 per cell]

Calculated values
ΔE to the lowest computed polymorph = 0.80 eV/f.u.

=====

[20]
Material: Tb4HoGa5
Method: DFT, GGA-PBE
State: relaxed

Cell lengths 3.575, 3.575, 17.935 Å; angles 90.00, 90.00, 90.00 degrees
Space group P4/mmm (No. 123)
Inequivalent atoms, fractional coordinates:
Tb 0.000 0.000 0.100 [2 per cell]
Tb 0.000 0.000 0.301 [2 per cell]
Ho 0.000 0.000 0.500 [1 per cell]
Ga 0.500 0.500 0.000 [1 per cell]
Ga 0.500 0.500 0.201 [2 per cell]
Ga 0.500 0.500 0.402 [2 per cell]

=====

[21]
Material: TbHo2Ga3
Method: DFT, GGA-PBE
State: relaxed

Cell lengths 5.0363, 5.0363, 12.3716 Å; angles 90.00, 90.00, 120.00 degrees
Space group P-3m1 (No. 164)
Inequivalent atoms, fractional coordinates:
Tb 0.3333 0.6667 0.1667 [2 per cell]
Ho 0.0000 0.0000 0.0000 [1 per cell]
Ho 0.0000 0.0000 0.5000 [1 per cell]
Ho 0.3333 0.6667 0.6657 [2 per cell]
Ga 0.0000 0.0000 0.2510 [2 per cell]
Ga 0.3333 0.6667 0.4173 [2 per cell]
Ga 0.3333 0.6667 0.9162 [2 per cell]

=====

[22]
Material: Tb8Ho2Ga
Method: DFT, GGA-PBE
State: relaxed

Cell lengths 19.073, 5.486, 6.420 Å; angles 90.00, 93.60, 90.00 degrees
Space group C2/m (No. 12)
Inequivalent atoms, fractional coordinates:
Tb 0.041 0.000 0.253 [4 per cell]
Tb 0.078 0.500 0.607 [4 per cell]
Tb 0.156 0.500 0.120 [4 per cell]
Tb 0.157 0.000 0.809 [4 per cell]
Ho 0.240 0.000 0.333 [4 per cell]
Ga 0.000 0.500 0.000 [2 per cell]

=====

[23]
Material: Tb2HoGa4
Method: DFT, GGA-PBE
State: relaxed

Cell lengths 4.134, 4.248, 18.298 Å; angles 90.00, 90.00, 90.00 degrees
Space group Immm (No. 71)
Inequivalent atoms, fractional coordinates:
Tb 0.000 0.000 0.185 [4 per cell]
Ho 0.000 0.500 0.500 [2 per cell]
Ga 0.000 0.000 0.355 [4 per cell]
Ga 0.000 0.500 0.066 [4 per cell]

=====

How do the records compare in energy? In the order shown, they have -4.062; -4.388; -4.469; -4.326; -4.521; -4.454; -4.285; -4.386; -4.471; -4.419; -4.321; -4.445; -4.249; -4.271; -4.430; -3.961; -4.322; -4.477; -4.211; -4.408; -4.394; -4.548; -4.332 eV per atom.
How do the records compare in DFT formation energy? In the order shown, they have -0.039; -0.581; -0.319; -0.248; -0.074; -0.375; -0.463; -0.458; -0.393; 0.021; -0.501; -0.629; -0.287; -0.288; -0.102; -0.538; -0.361; -0.399; -0.133; -0.585; -0.583; -0.073; -0.625 eV/atom.